Computed, not measured: DyCr3B4O12 after structural relaxation at the PBE with a Hubbard U level of DFT.

Cell and atoms, written as CIF:
```
data_DyCr3B4O12
_symmetry_space_group_name_H-M 'R 3 2'
_symmetry_Int_Tables_number 155
_symmetry_space_group_name_Hall 'R 3 2"'
_cell_length_a 9.5798
_cell_length_b 9.5798
_cell_length_c 7.6167
_cell_angle_alpha 90.00
_cell_angle_beta 90.00
_cell_angle_gamma 120.00
loop_
_atom_site_label
_atom_site_type_symbol
_atom_site_fract_x
_atom_site_fract_y
_atom_site_fract_z
Dy1 Dy 0.0000 0.0000 0.0000
Cr1 Cr 0.0000 0.5533 0.0000
B1 B 0.0000 0.0000 0.5000
B2 B 0.0000 0.4455 0.5000
O1 O 0.0000 0.5905 0.5000
O2 O 0.0000 0.8556 0.5000
O3 O 0.0263 0.2116 0.1803
```

## Properties
Total magnetization   9.0 μB/f.u.
VASP energy   -8.0979 eV per atom